A relaxed structure of Na3Er2TiTe6. Source: Alexandria, functional PBE.

Lattice parameters (Å, degrees): 7.4427 7.4427 7.9664 98.98 98.98 120.04
Site moments in Bohr magnetons follow the coordinates.
Positions (direct):
Te  0.9255  0.6092  0.7762  -0.02
Te  0.3908  0.0745  0.2238  -0.02
Te  0.7600  0.7600  0.2241  -0.02
Te  0.0745  0.3908  0.2238  -0.02
Te  0.6092  0.9255  0.7762  -0.02
Te  0.2400  0.2400  0.7759  -0.02
Er  0.3340  0.6660  0.0000  0.02
Er  0.6660  0.3340  0.0000  0.02
Na  0.8273  0.1727  0.5000  0.00
Na  0.5000  0.5000  0.5000  0.00
Na  0.1727  0.8273  0.5000  0.00
Ti  0.0000  0.0000  0.0000  0.89

Output
- Calculated total energy: -4.42 eV/atom
- Size of the total moment: 1.00 μB per formula unit
- Space group: C2/m, No. 12



A relaxed structure of Na2ErTiTe4. Source: Alexandria, functional PBE.

Lattice parameters (Å, degrees): 4.2202 7.3588 7.9826 107.88 90.00 90.00
Site moments in Bohr magnetons follow the coordinates.
Positions (direct):
Na  0.5000  0.0000  0.5000  0.00
Na  0.0000  0.5000  0.5000  0.00
Te  0.0000  0.7235  0.2160  -0.03
Te  0.0000  0.2765  0.7840  -0.03
Te  0.5000  0.2577  0.2261  -0.02
Te  0.5000  0.7423  0.7739  -0.02
Ti  0.5000  0.5000  0.0000  0.90
Er  0.0000  0.0000  0.0000  0.03

Output
- Calculated total energy: -4.47 eV/atom
- Size of the total moment: 1.00 μB per formula unit
- Space group: P2/m, No. 10



A relaxed structure of Na4Er3TmTe8. Source: Alexandria, functional PBE.

Lattice parameters (Å, degrees): 8.7914 9.1096 8.7900 118.87 120.01 90.00
Positions (direct):
Na  0.5000  0.0000  0.0000
Na  0.5000  0.0000  0.5000
Na  0.0000  0.0000  0.5000
Na  0.0000  0.0000  0.0000
Te  0.2429  0.7297  0.4858
Te  0.2559  0.2703  0.0130
Te  0.7571  0.2703  0.0130
Te  0.7441  0.7297  0.9870
Te  0.2565  0.2698  0.5131
Te  0.7435  0.7302  0.4869
Te  0.7571  0.2703  0.5142
Te  0.2429  0.7297  0.9870
Er  0.5000  0.5000  0.0000
Er  0.0000  0.5000  0.5000
Er  0.5000  0.5000  0.5000
Tm  0.0000  0.5000  0.0000

Output
- Calculated total energy: -4.34 eV/atom
- Size of the total moment: 0.00 μB per formula unit
- Space group: R-3m, No. 166



A relaxed structure of Na4ErTm3Te8. Source: Alexandria, functional PBE.

Lattice parameters (Å, degrees): 8.7764 9.1040 8.7757 118.83 120.00 90.00
Positions (direct):
Te  0.2576  0.2706  0.0140
Te  0.7424  0.7294  0.9860
Te  0.7431  0.7290  0.4861
Te  0.7564  0.2706  0.0140
Te  0.2436  0.7294  0.9860
Te  0.2436  0.7294  0.4873
Te  0.7564  0.2706  0.5127
Te  0.2569  0.2710  0.5139
Na  0.5000  0.0000  0.5000
Na  0.5000  0.0000  0.0000
Na  0.0000  0.0000  0.5000
Na  0.0000  0.0000  0.0000
Er  0.0000  0.5000  0.0000
Tm  0.5000  0.5000  0.5000
Tm  0.5000  0.5000  0.0000
Tm  0.0000  0.5000  0.5000

Output
- Calculated total energy: -4.32 eV/atom
- Size of the total moment: 0.00 μB per formula unit
- Space group: R-3m, No. 166



Number 3 is which compound?
Na4Er3TmTe8